Here is crystalline YBeAs2 at its relaxed geometry from Alexandria. Energies are from PBE.

Structure (POSCAR):
```
YBeAs2
1.0
3.5680 0.3029 0.0000
-0.4300 3.5549 0.0000
0.0000 0.0000 5.7907
Y Be As
1 1 2
Cartesian
1.5690 1.9289 4.3430 Y
1.5690 1.9289 1.4477 Be
0.0000 0.0000 0.1993 As
0.0000 0.0000 2.6960 As
```

## Properties
Raw total energy = -5.11 eV/atom
Space group = Cmmm
DOS(E_F) = 2.22 states/eV/cell

***

Here is crystalline YBe8As6 at its relaxed geometry from Alexandria. Energies are from PBE.

Structure (POSCAR):
```
YBe8As6
1.0
6.6638 0.0000 0.0000
-3.3319 5.7710 0.0000
0.0000 0.0000 12.2053
Y Be As
2 16 12
Cartesian
0.0000 0.0000 5.5048 Y
0.0000 0.0000 11.6075 Y
2.0896 3.6193 3.5662 Be
1.1964 2.0722 7.4854 Be
2.1355 3.6988 1.3828 Be
1.2423 2.1517 9.6688 Be
3.3319 1.9237 10.8070 Be
3.3319 1.9237 4.7044 Be
2.4846 0.0000 3.5662 Be
4.2710 0.0000 7.4854 Be
2.3928 0.0000 1.3828 Be
-2.0896 3.6193 9.6688 Be
4.1792 0.0000 9.6688 Be
-1.1964 2.0722 1.3828 Be
0.0000 3.8473 4.7044 Be
0.0000 3.8473 10.8070 Be
-2.1355 3.6988 7.4854 Be
-1.2423 2.1517 3.5662 Be
1.9362 3.3535 5.7381 As
1.3957 2.4175 11.8407 As
3.3319 1.9237 8.5260 As
0.0000 0.0000 8.5416 As
0.0000 0.0000 2.4390 As
3.3319 1.9237 2.4233 As
2.7914 0.0000 5.7381 As
-1.9362 3.3535 11.8407 As
3.8723 0.0000 11.8407 As
0.0000 3.8473 2.4233 As
0.0000 3.8473 8.5260 As
-1.3957 2.4175 5.7381 As
```

## Properties
Raw total energy = -4.36 eV/atom
Space group = P6_3cm
DOS(E_F) = 4.26 states/eV/cell

***

Here is crystalline YBeAs2 at its relaxed geometry from Alexandria. Energies are from PBE.

Structure (POSCAR):
```
YBeAs2
1.0
3.6539 0.0000 0.0000
0.0000 3.9058 -0.0531
0.0000 0.0900 5.7567
Y Be As
1 1 2
Cartesian
1.8269 2.9969 4.2776 Y
1.8269 0.9990 1.4259 Be
0.0000 1.0639 5.7385 As
0.0000 1.0240 2.8699 As
```

## Properties
Raw total energy = -5.36 eV/atom
Space group = P2/m
DOS(E_F) = 2.73 states/eV/cell

***

Here is crystalline YBe2As at its relaxed geometry from Alexandria. Energies are from PBE.

Structure (POSCAR):
```
YBe2As
1.0
5.5983 0.0071 -0.0005
3.2170 4.5817 0.0005
-4.3813 -2.3449 2.5780
Y Be As
1 2 1
Cartesian
4.1360 2.1530 0.0000 Y
0.8143 0.4239 0.0000 Be
2.4362 -0.2175 1.2888 Be
1.4550 2.1789 1.2892 As
```

## Properties
Raw total energy = -4.83 eV/atom
Space group = Imm2
DOS(E_F) = 2.58 states/eV/cell

***

Here is crystalline YBe2As at its relaxed geometry from Alexandria. Energies are from PBE.

Structure (POSCAR):
```
YBe2As
1.0
-1.2403 -1.0011 2.9953
-0.6328 -2.5151 -2.1877
5.4204 -2.5692 1.3858
Y Be As
1 2 1
Cartesian
2.6832 -1.2718 0.6860 Y
0.0747 -0.0354 0.0191 Be
0.0346 -2.2184 0.6521 Be
3.4650 -3.8444 1.5292 As
```

## Properties
Raw total energy = -4.66 eV/atom
Space group = Cmm2
DOS(E_F) = 2.08 states/eV/cell

***

Here is crystalline YBe2As at its relaxed geometry from Alexandria. Energies are from PBE.

Structure (POSCAR):
```
YBe2As
1.0
5.7124 0.0024 0.0002
-1.3594 3.6598 0.0026
1.3507 0.4251 3.6276
Y Be As
1 2 1
Cartesian
2.1765 1.8311 0.0014 Y
0.0000 0.0000 0.0000 Be
-0.0043 2.0424 1.8151 Be
3.5316 0.2138 1.8139 As
```

## Properties
Raw total energy = -4.43 eV/atom
Space group = Fmmm
DOS(E_F) = 1.39 states/eV/cell